Here is a crystal of InFe2Rh relaxed with PBEsol from Alexandria via LeMat-Bulk. Energies are from meta-GGA SCAN.

Values from the calculation:
Crystal system: cubic
Total energy: -1.9080 Ry per atom
Energy of formation from the pure elements: -105 meV per atom

Cell lengths 4.275, 4.275, 4.275 Å; angles 60.00, 60.00, 60.00 degrees
Site moments in Bohr magnetons follow the coordinates.
Element x y z (fractional)
1 In 0.500 0.500 0.500  -0.12
2 Fe 0.000 0.000 0.000  3.04
3 Fe 0.750 0.750 0.750  2.69
4 Rh 0.250 0.250 0.250  0.42